<a>
The following is a DFT calculation (PBE) of a geometry-optimized SrSc2Re structure.

a b c (Å): 7.1268 7.1268 7.1268
angles (deg): 90.00 90.00 90.00
Space group F-43m (No. 216)
Unique sites:
Sr 0.0000 0.0000 0.0000 x4
Sc 0.0000 0.0000 0.5000 x4
Sc 0.2500 0.2500 0.7500 x4
Re 0.2500 0.2500 0.2500 x4

## Properties
V in Å³ per cell: 361.98
Total magnetic moment in μB per atom: 0.001

=====

<b>
The following is a DFT calculation (PBE) of a geometry-optimized SrSc2Re structure.

a b c (Å): 3.3279 3.3279 31.9181
angles (deg): 90.00 90.00 120.00
Space group R-3m (No. 166, hexagonal axes)
Unique sites:
Sr 0.0000 0.0000 0.0000 x3
Sc 0.0000 0.0000 0.1064 x6
Re 0.0000 0.0000 0.5000 x3

## Properties
V in Å³ per cell: 306.13
Total magnetic moment in μB per atom: 0.000

=====

<c>
The following is a DFT calculation (PBE) of a geometry-optimized SrSc2Re structure.

a b c (Å): 4.2337 5.5233 8.0066
angles (deg): 90.00 90.00 90.00
Space group Immm (No. 71)
Unique sites:
Sr 0.0000 0.0000 0.0000 x2
Sc 0.0000 0.5000 0.2081 x4
Re 0.0000 0.0000 0.5000 x2

## Properties
V in Å³ per cell: 187.22
Total magnetic moment in μB per atom: 0.000

=====

<d>
The following is a DFT calculation (PBE) of a geometry-optimized SrSc2Re structure.

a b c (Å): 7.0537 7.0537 7.0537
angles (deg): 90.00 90.00 90.00
Space group Fm-3m (No. 225)
Unique sites:
Sr 0.0000 0.0000 0.0000 x4
Sc 0.2500 0.2500 0.2500 x8
Re 0.0000 0.0000 0.5000 x4

## Properties
V in Å³ per cell: 350.96
Total magnetic moment in μB per atom: 0.000

=====

The most stable of them is <c>.

=====

<a>
The following is a DFT calculation (PBE) of a geometry-optimized SrSc2Re structure.

a b c (Å): 4.5844 4.5844 18.2154
angles (deg): 90.00 90.00 120.00
Space group R3m (No. 160, hexagonal axes)
Unique sites:
Sr 0.0000 0.0000 0.0000 x3
Sc 0.0000 0.0000 0.5407 x3
Sc 0.0000 0.0000 0.7988 x3
Re 0.0000 0.0000 0.1951 x3

## Properties
V in Å³ per cell: 331.52
Total magnetic moment in μB per atom: 0.000

=====

<b>
The following is a DFT calculation (PBE) of a geometry-optimized SrSc2Re structure.

a b c (Å): 3.3712 3.3712 30.9430
angles (deg): 90.00 90.00 120.00
Space group R-3m (No. 166, hexagonal axes)
Unique sites:
Sr 0.0000 0.0000 0.0000 x3
Sc 0.0000 0.0000 0.2285 x6
Re 0.0000 0.0000 0.5000 x3

## Properties
V in Å³ per cell: 304.55
Total magnetic moment in μB per atom: 0.000

=====

The most stable of them is <a>.